1.
Here is a relaxed LaSc2Si crystal from Alexandria. Energies are from PBE.

Calculated values
Its density is 4.35 g/cm³. The formation energy (no corrections) is -304.7 meV/atom. As for the crystal system: orthorhombic.

a b c (Å): 3.672 5.158 10.359
angles (deg): 90.00 90.00 90.00
Space group Immm (No. 71)
Asymmetric unit:
1 La 0.000 0.000 0.000 (multiplicity 2)
2 Sc 0.000 0.500 0.203 (multiplicity 4)
3 Si 0.000 0.000 0.500 (multiplicity 2)

=====

2.
Here is a relaxed Sc2Fe2Au crystal from Alexandria. Energies are from PBE.

Calculated values
Its density is 7.92 g/cm³. As for the crystal system: tetragonal. The formation enthalpy at 0 K is -0.265 eV per atom. The value obtained for the energy above the most stable polymorph in this dataset is 0.000 eV per atom.

a b c (Å): 6.758 6.758 3.659
angles (deg): 90.00 90.00 90.00
Space group P4/mbm (No. 127)
Asymmetric unit:
1 Sc 0.177 0.323 0.000 (multiplicity 4)
2 Fe 0.114 0.614 0.500 (multiplicity 4)
3 Au 0.000 0.000 0.500 (multiplicity 2)

=====

no.,N(E_F) (states/eV/f.u.),spin magnetization (μB per atom)
1,3.913,0.000
2,4.450,0.503